Record 1
RbCa2TlF8 after structural relaxation. Source: Alexandria via LeMat-Bulk, functional PBE.

Cell: 4.1402 7.8256 5.7654 Å, 90.00 90.17 90.00°
Element x y z (fractional)
Rb (0.0000, 0.0000, 0.0000)
Ca (0.5000, 0.2460, 0.5000)
Ca (0.5000, 0.7540, 0.5000)
Tl (0.0000, 0.5000, 0.0000)
F (0.0005, 0.2905, 0.7342)
F (0.0005, 0.7095, 0.7342)
F (0.4989, 0.0000, 0.7144)
F (0.4991, 0.5000, 0.2318)
F (0.5011, 0.0000, 0.2856)
F (0.5009, 0.5000, 0.7682)
F (0.9995, 0.2905, 0.2658)
F (0.9995, 0.7095, 0.2658)

Energy relative to the elements, uncorrected = -2.99 eV per atom

---

Record 2
RbCaTmF6 after structural relaxation. Source: Alexandria via LeMat-Bulk, functional PBE.

Cell: 8.2222 8.2222 8.2222 Å, 121.28 119.82 89.05°
Element x y z (fractional)
Rb (0.3165, 0.0665, 0.2500)
Rb (0.6835, 0.9335, 0.7500)
Ca (0.0000, 0.0000, 0.5000)
Ca (0.0000, 0.5000, 0.0000)
Tm (0.0000, 0.5000, 0.5000)
Tm (0.5000, 0.5000, 0.0000)
F (0.0664, 0.4267, 0.2547)
F (0.0664, 0.8117, 0.6396)
F (0.0823, 0.8323, 0.2500)
F (0.3057, 0.5557, 0.7500)
F (0.3280, 0.1883, 0.7547)
F (0.3280, 0.5733, 0.1396)
F (0.6720, 0.4267, 0.8604)
F (0.6720, 0.8117, 0.2453)
F (0.6943, 0.4443, 0.2500)
F (0.9177, 0.1677, 0.7500)
F (0.9336, 0.1883, 0.3604)
F (0.9336, 0.5733, 0.7453)

Energy relative to the elements, uncorrected = -3.75 eV per atom

---

Record 3
Rb2Ca3UF12 after structural relaxation. Source: Alexandria via LeMat-Bulk, functional PBE.

Cell: 8.5459 8.5459 8.5459 Å, 56.70 56.70 56.70°
Element x y z (fractional)
Rb (0.0813, 0.0813, 0.0813)
Rb (0.9187, 0.9187, 0.9187)
Ca (0.0000, 0.5000, 0.5000)
Ca (0.5000, 0.0000, 0.5000)
Ca (0.5000, 0.5000, 0.0000)
U (0.5000, 0.5000, 0.5000)
F (0.1708, 0.1708, 0.5896)
F (0.1708, 0.5896, 0.1708)
F (0.1898, 0.5646, 0.5646)
F (0.4104, 0.8292, 0.8292)
F (0.4354, 0.4354, 0.8102)
F (0.4354, 0.8102, 0.4354)
F (0.5646, 0.1898, 0.5646)
F (0.5646, 0.5646, 0.1898)
F (0.5896, 0.1708, 0.1708)
F (0.8102, 0.4354, 0.4354)
F (0.8292, 0.4104, 0.8292)
F (0.8292, 0.8292, 0.4104)

Energy relative to the elements, uncorrected = -3.53 eV per atom